# 1
BeNb2Ga PBE optimized geometry; final energy = -6.459 eV/atom; mass density = 7.03 g/cm³; spin magnetization = 0.28 μB/f.u.
1.0
-4.106 -1.134 1.304
-3.362 0.062 -2.922
-1.805 -3.824 -1.401
Be Ga Nb
1 1 2
Cartesian
-2.318 -1.224 -0.754 Be
-4.637 -2.448 -1.509 Ga
0.000 0.000 0.000 Nb
-6.955 -3.672 -2.263 Nb

=====

# 2
NaReAgTeS2 PBE optimized geometry; final energy = -4.773 eV/atom; mass density = 6.25 g/cm³; spin magnetization = 1.92 μB/f.u.
1.0
-3.361 2.707 6.144
1.693 -5.571 -4.740
8.404 -2.171 5.554
Ag Na Re S Te
2 2 2 4 2
Cartesian
1.600 -2.521 1.373 Ag
5.136 -2.515 5.584 Ag
-0.082 0.235 4.996 Na
6.818 -5.271 1.961 Na
0.000 0.000 0.000 Re
4.202 -1.086 2.777 Re
-0.041 -2.428 -0.387 S
3.722 -3.400 2.099 S
3.015 -1.636 4.858 S
6.777 -2.608 7.345 S
3.356 -5.397 -2.409 Te
3.380 0.361 9.367 Te

=====

# 3
NaAu PBE optimized geometry; final energy = -2.436 eV/atom; mass density = 9.18 g/cm³
1.0
-1.611 -2.412 -0.951
0.920 0.171 2.906
-4.183 2.324 1.188
Au Na
1 1
Cartesian
-3.904 0.192 1.225 Au
-0.969 -0.109 1.917 Na

=====

# 4
SrLuTe PBE optimized geometry; energy relative to the lowest polymorph listed for this composition = 0 meV/atom; final energy = -3.460 eV/atom; mass density = 6.14 g/cm³; spin magnetization = 1.20 μB/f.u.
1.0
0.000 3.751 3.751
3.751 0.000 3.751
3.751 3.751 0.000
Lu Sr Te
1 1 1
Cartesian
1.875 1.875 1.875 Lu
5.626 5.626 5.626 Sr
0.000 0.000 0.000 Te

=====

# 5
Be2CuTe PBE optimized geometry; final energy = -2.799 eV/atom; mass density = 5.76 g/cm³
1.0
-1.375 -3.498 2.291
-3.828 0.155 2.168
-3.434 -2.355 -1.427
Be Cu Te
2 1 1
Cartesian
0.000 0.000 0.000 Be
-6.477 -4.273 2.273 Be
-2.159 -1.424 0.758 Cu
-4.318 -2.849 1.516 Te

=====

# 6
NbH2 PBE optimized geometry; final energy = -5.766 eV/atom; mass density = 6.98 g/cm³; spin magnetization = 0.00 μB/f.u.
1.0
5.140 0.000 0.000
0.000 3.100 0.000
0.000 0.000 5.667
H Nb
8 4
Cartesian
1.959 0.775 0.447 H
0.152 2.325 1.100 H
2.722 2.325 1.734 H
4.529 0.775 2.387 H
0.612 2.325 3.280 H
2.418 0.775 3.934 H
4.989 0.775 4.568 H
3.182 2.325 5.221 H
3.917 0.775 0.529 Nb
1.347 0.775 2.305 Nb
3.793 2.325 3.362 Nb
1.223 2.325 5.139 Nb

=====

# 7
LaCuB PBE optimized geometry; energy relative to the lowest polymorph listed for this composition = 406 meV/atom; final energy = -4.166 eV/atom; mass density = 5.28 g/cm³; spin magnetization = 0.01 μB/f.u.
1.0
0.000 3.225 3.225
3.225 0.000 3.225
3.225 3.225 0.000
B Cu La
1 1 1
Cartesian
1.612 1.612 1.612 B
4.837 4.837 4.837 Cu
0.000 0.000 0.000 La

=====

# 8
Sm2Ho2CBr5 PBE optimized geometry; energy relative to the lowest polymorph listed for this composition = 0 meV/atom; final energy = -5.049 eV/atom; mass density = 6.18 g/cm³; spin magnetization = 0.10 μB/f.u.
1.0
8.962 -1.932 0.000
8.962 1.932 0.000
-1.849 0.000 8.084
Br C Ho Sm
5 1 2 2
Cartesian
14.532 0.000 1.295 Br
2.379 0.000 2.667 Br
8.038 0.000 4.042 Br
13.696 0.000 5.416 Br
1.543 0.000 6.788 Br
8.962 0.000 0.000 C
11.284 0.000 0.572 Ho
4.792 0.000 7.512 Ho
17.524 0.000 1.653 Sm
-1.448 0.000 6.430 Sm

=====

# 9
TaTlO3 PBE optimized geometry; final energy = -7.975 eV/atom; mass density = 10.85 g/cm³; spin magnetization = 0.00 μB/f.u.
1.0
4.048 0.000 0.000
0.000 4.048 0.000
0.000 0.000 4.048
O Ta Tl
3 1 1
Cartesian
2.024 2.024 0.000 O
2.024 0.000 2.024 O
0.000 2.024 2.024 O
2.024 2.024 2.024 Ta
0.000 0.000 0.000 Tl

=====

# 10
BeAlFe2 PBE optimized geometry; final energy = -6.208 eV/atom; mass density = 5.67 g/cm³; spin magnetization = 3.09 μB/f.u.
1.0
3.212 0.372 2.252
-0.255 -0.524 3.897
1.614 -3.183 1.670
Al Be Fe
1 1 2
Cartesian
2.285 -1.668 3.910 Al
1.143 -0.834 1.955 Be
0.000 0.000 0.000 Fe
3.428 -2.502 5.865 Fe

=====

# 11
SmYHg PBE optimized geometry; energy relative to the lowest polymorph listed for this composition = 0 meV/atom; final energy = -4.191 eV/atom; mass density = 8.53 g/cm³; spin magnetization = 0.00 μB/f.u.; ΔH_f (0 K) = -0.37 eV per atom
1.0
-6.377 -2.912 -0.647
0.714 -2.560 4.478
-3.748 7.162 4.691
Hg Sm Y
4 4 4
Cartesian
-4.857 -2.067 1.107 Hg
-2.806 1.561 2.854 Hg
-6.604 0.129 5.668 Hg
-4.553 3.757 7.415 Hg
-1.229 -0.603 1.365 Sm
-5.717 0.425 2.669 Sm
-3.693 1.265 5.854 Sm
-8.181 2.294 7.157 Sm
-3.299 -1.921 3.970 Y
-6.883 -2.621 4.141 Y
-2.527 4.312 4.381 Y
-6.111 3.611 4.552 Y

=====

# 12
TaSbMo2 PBE optimized geometry; final energy = -9.100 eV/atom; mass density = 11.76 g/cm³; spin magnetization = 0.00 μB/f.u.
1.0
0.000 3.268 3.268
3.268 0.000 3.268
3.268 3.268 0.000
Mo Sb Ta
2 1 1
Cartesian
0.000 0.000 0.000 Mo
4.903 4.903 4.903 Mo
3.268 3.268 3.268 Sb
1.634 1.634 1.634 Ta

=====

> The lowest mass density belongs to which entry?

LaCuB

=====

> Number 11 is which compound?

SmYHg

=====

> The highest final energy belongs to which entry?

NaAu

=====

Please write out number 8 again, unchanged.
Sm2Ho2CBr5 PBE optimized geometry; energy relative to the lowest polymorph listed for this composition = 0 meV/atom; final energy = -5.049 eV/atom; mass density = 6.18 g/cm³; spin magnetization = 0.10 μB/f.u.
1.0
8.962 -1.932 0.000
8.962 1.932 0.000
-1.849 0.000 8.084
Br C Ho Sm
5 1 2 2
Cartesian
14.532 0.000 1.295 Br
2.379 0.000 2.667 Br
8.038 0.000 4.042 Br
13.696 0.000 5.416 Br
1.543 0.000 6.788 Br
8.962 0.000 0.000 C
11.284 0.000 0.572 Ho
4.792 0.000 7.512 Ho
17.524 0.000 1.653 Sm
-1.448 0.000 6.430 Sm